! Ca2CrOs GGA-PBE relaxed; values from VASP
! SG = No. 139
! Crystal system = tetragonal
! Volume = 86.5 Å³ per cell
! Mass density = 6.2 g/cm3
! E above lowest polymorph = 0.471 eV/atom
&SYSTEM
  ibrav = 0, nat = 4, ntyp = 3
/
ATOMIC_SPECIES
Ca 40.08 Ca.upf
Os 190.23 Os.upf
Cr 52.00 Cr.upf
CELL_PARAMETERS angstrom
5.184 -0.768 0.000
1.964 4.859 0.000
-3.574 -2.045 3.242
ATOMIC_POSITIONS angstrom
Ca 0.000 0.000 0.000
Ca 3.574 2.045 0.000
Os 2.592 -0.384 1.621
Cr 0.982 2.429 1.621